Record 1
Computed, not measured: HfSc2AlN after structural relaxation at the PBE-GGA level of DFT.

a = 4.4067 Å, b = 4.4067 Å, c = 4.4014 Å
α = 90.00°, β = 90.00°, γ = 90.00°
Fractional coordinates of all 5 atoms:
Hf1 0.0000 0.0000 0.0000
Sc1 0.0000 0.5000 0.5000
Sc2 0.5000 0.0000 0.5000
Al1 0.5000 0.5000 0.0000
N1 0.0000 0.0000 0.5000

Computed properties:
formation energy from raw total energies = -5.0 eV per formula unit
M_tot = 0.00 μB per formula unit
density of states at the Fermi level = 2.0 states/eV per cell

=====

Record 2
Computed, not measured: La3Dy3Ge4 after structural relaxation at the PBE-GGA level of DFT.

a = 4.4589 Å, b = 7.7559 Å, c = 7.7559 Å
α = 90.25°, β = 90.00°, γ = 90.00°
Fractional coordinates of all 10 atoms:
La1 0.0000 0.0000 0.0000
La2 0.0000 0.4951 0.8465
La3 0.0000 0.8465 0.4951
Dy1 0.0000 0.3467 0.3467
Dy2 0.5000 0.1734 0.6718
Dy3 0.5000 0.6718 0.1734
Ge1 0.5000 0.0592 0.2983
Ge2 0.5000 0.2983 0.0592
Ge3 0.5000 0.5422 0.5422
Ge4 0.5000 0.7932 0.7932

Computed properties:
M_tot = 0.00 μB per formula unit
density of states at the Fermi level = 9.0 states/eV per cell
DFT formation energy = -0.779 eV/atom

=====

Record 3
Computed, not measured: KReIr2Se after structural relaxation at the PBE-GGA level of DFT.

a = 4.7040 Å, b = 4.7040 Å, c = 6.0158 Å
α = 90.00°, β = 90.00°, γ = 90.00°
Fractional coordinates of all 5 atoms:
K1 0.0000 0.0000 0.0000
Re1 0.0000 0.0000 0.5000
Ir1 0.0000 0.5000 0.5000
Ir2 0.5000 0.0000 0.5000
Se1 0.5000 0.5000 0.0000

Computed properties:
formation energy from raw total energies = 7.6 eV per formula unit
M_tot = 0.00 μB per formula unit
density of states at the Fermi level = 8.5 states/eV per cell

=====

Record 4
Computed, not measured: ReP2PtCl after structural relaxation at the PBE-GGA level of DFT.

a = 4.6917 Å, b = 4.6917 Å, c = 4.7670 Å
α = 90.00°, β = 90.00°, γ = 90.00°
Fractional coordinates of all 5 atoms:
Re1 0.0000 0.0000 0.0000
P1 0.0000 0.5000 0.5000
P2 0.5000 0.0000 0.5000
Pt1 0.5000 0.5000 0.5000
Cl1 0.5000 0.5000 0.0000

Computed properties:
formation energy from raw total energies = 6.9 eV per formula unit
M_tot = 3.09 μB per formula unit
density of states at the Fermi level = 2.3 states/eV per cell
ΔE to the lowest computed polymorph = 496 meV per atom

=====

Record 5
Computed, not measured: Ba2AlAs after structural relaxation at the PBE-GGA level of DFT.

a = 5.6928 Å, b = 5.6928 Å, c = 5.6928 Å
α = 60.00°, β = 60.00°, γ = 60.00°
Fractional coordinates of all 4 atoms:
Ba1 0.0000 0.0000 0.0000
Ba2 0.2500 0.2500 0.2500
Al1 0.5000 0.5000 0.5000
As1 0.7500 0.7500 0.7500

Computed properties:
M_tot = 0.00 μB per formula unit
density of states at the Fermi level = 5.3 states/eV per cell
DFT formation energy = -0.024 eV/atom
ΔE to the lowest computed polymorph = 609 meV per atom

=====

Record 6
Computed, not measured: Tb2PuThSe4 after structural relaxation at the PBE-GGA level of DFT.

a = 7.1340 Å, b = 4.0865 Å, c = 7.2442 Å
α = 90.00°, β = 108.87°, γ = 90.00°
Fractional coordinates of all 8 atoms:
Tb1 0.0000 0.0000 0.0000
Tb2 0.5000 0.5000 0.0000
Pu1 0.0000 0.5000 0.5000
Th1 0.5000 0.0000 0.5000
Se1 0.2434 0.5000 0.2401
Se2 0.2490 0.0000 0.7566
Se3 0.7510 0.0000 0.2434
Se4 0.7566 0.5000 0.7599

Computed properties:
formation energy from raw total energies = -13.3 eV per formula unit
M_tot = 5.87 μB per formula unit
density of states at the Fermi level = 10.5 states/eV per cell

=====

Record 7
Computed, not measured: NaGaW3 after structural relaxation at the PBE-GGA level of DFT.

a = 4.6894 Å, b = 4.6894 Å, c = 4.6894 Å
α = 90.00°, β = 90.00°, γ = 90.00°
Fractional coordinates of all 5 atoms:
Na1 0.0000 0.0000 0.0000
Ga1 0.5000 0.5000 0.5000
W1 0.0000 0.5000 0.5000
W2 0.5000 0.0000 0.5000
W3 0.5000 0.5000 0.0000

Computed properties:
M_tot = 0.00 μB per formula unit
density of states at the Fermi level = 7.8 states/eV per cell
DFT formation energy = 2.063 eV/atom
ΔE to the lowest computed polymorph = 0 meV per atom

=====

Record 8
Computed, not measured: GdDyCoRh after structural relaxation at the PBE-GGA level of DFT.

a = 4.8180 Å, b = 4.8180 Å, c = 4.8180 Å
α = 60.00°, β = 60.00°, γ = 60.00°
Fractional coordinates of all 4 atoms:
Gd1 0.0000 0.0000 0.0000
Dy1 0.5000 0.5000 0.5000
Co1 0.2500 0.2500 0.2500
Rh1 0.7500 0.7500 0.7500

Computed properties:
M_tot = 6.38 μB per formula unit
density of states at the Fermi level = 1.5 states/eV per cell
DFT formation energy = -0.467 eV/atom

=====

Record 9
Computed, not measured: LaBe3Hg after structural relaxation at the PBE-GGA level of DFT.

a = 4.5453 Å, b = 4.5453 Å, c = 4.5453 Å
α = 90.00°, β = 90.00°, γ = 90.00°
Fractional coordinates of all 5 atoms:
La1 0.0000 0.0000 0.0000
Be1 0.0000 0.5000 0.5000
Be2 0.5000 0.0000 0.5000
Be3 0.5000 0.5000 0.0000
Hg1 0.5000 0.5000 0.5000

Computed properties:
M_tot = 0.00 μB per formula unit
density of states at the Fermi level = 3.1 states/eV per cell
DFT formation energy = 0.421 eV/atom
ΔE to the lowest computed polymorph = 0 meV per atom

=====

Record 10
Computed, not measured: Pm4Er2Tm5 after structural relaxation at the PBE-GGA level of DFT.

a = 12.0683 Å, b = 12.0683 Å, c = 8.7875 Å
α = 99.71°, β = 99.71°, γ = 16.66°
Fractional coordinates of all 11 atoms:
Pm1 0.0278 0.0278 0.1945
Pm2 0.3706 0.3706 0.9667
Pm3 0.6294 0.6294 0.0333
Pm4 0.9722 0.9722 0.8055
Er1 0.2312 0.2312 0.8273
Er2 0.7688 0.7688 0.1727
Tm1 0.1021 0.1021 0.6890
Tm2 0.1827 0.1827 0.4011
Tm3 0.5000 0.5000 0.5000
Tm4 0.8173 0.8173 0.5989
Tm5 0.8979 0.8979 0.3110

Computed properties:
M_tot = 0.00 μB per formula unit
density of states at the Fermi level = 16.3 states/eV per cell
DFT formation energy = 0.228 eV/atom
ΔE to the lowest computed polymorph = 121 meV per atom

=====

Record 11
Computed, not measured: TmCuPH after structural relaxation at the PBE-GGA level of DFT.

a = 3.7273 Å, b = 3.7273 Å, c = 7.6932 Å
α = 90.00°, β = 90.00°, γ = 90.00°
Fractional coordinates of all 8 atoms:
Tm1 0.2500 0.2500 0.1696
Tm2 0.7500 0.7500 0.8304
Cu1 0.2500 0.7500 0.5000
Cu2 0.7500 0.2500 0.5000
P1 0.2500 0.2500 0.6978
P2 0.7500 0.7500 0.3022
H1 0.2500 0.7500 0.0000
H2 0.7500 0.2500 0.0000

Computed properties:
M_tot = 0.00 μB per formula unit
density of states at the Fermi level = 0.4 states/eV per cell
total DFT energy (no corrections) = -5.149 eV per atom

=====

Record 12
Computed, not measured: ScZn2GaH after structural relaxation at the PBE-GGA level of DFT.

a = 4.1137 Å, b = 4.1137 Å, c = 4.0888 Å
α = 90.00°, β = 90.00°, γ = 90.00°
Fractional coordinates of all 5 atoms:
Sc1 0.0000 0.0000 0.0000
Zn1 0.0000 0.5000 0.5000
Zn2 0.5000 0.0000 0.5000
Ga1 0.5000 0.5000 0.0000
H1 0.0000 0.0000 0.5000

Computed properties:
M_tot = 0.00 μB per formula unit
density of states at the Fermi level = 0.9 states/eV per cell
total DFT energy (no corrections) = -3.308 eV per atom

=====

Question: Among the records above, which one has the lowest density of states at the Fermi level?
Answer: TmCuPH

=====

Question: M_tot of number 2 (La3Dy3Ge4)?
Answer: 0.00 μB per formula unit

=====

Question: density of states at the Fermi level of number 10 (Pm4Er2Tm5)?
Answer: 16.3 states/eV per cell